Record 1
Below is a geometry-optimized TmZr3C4 structure, with properties calculated at the GGA-PBE level.

Summary:
crystal system	orthorhombic
E_tot	-9.006	eV/atom
DOS at the Fermi energy	0.395	states/eV/atom
calculated volume	218.16	Å³/cell

Geometry as CIF:
```
data_TmZr3C4
_chemical_formula_sum 'Tm2 Zr6 C8'
_space_group_name_H-M_alt 'C m m m'
_space_group_IT_number 65
_space_group_name_Hall '-C 2 2'
_cell_length_a 6.7671
_cell_length_b 9.5646
_cell_length_c 3.3706
_cell_angle_alpha 90.00
_cell_angle_beta 90.00
_cell_angle_gamma 90.00
loop_
_atom_site_label
_atom_site_type_symbol
_atom_site_fract_x
_atom_site_fract_y
_atom_site_fract_z
_atom_site_occupancy
Tm1 Tm 0.0000 0.0000 0.0000 1
Zr1 Zr 0.0000 0.5000 0.0000 1
Zr2 Zr 0.2500 0.2500 0.5000 1
C1 C 0.0000 0.2540 0.0000 1
C2 C 0.2407 0.5000 0.5000 1
```


Record 2
Below is a geometry-optimized CoTc2Os structure, with properties calculated at the GGA-PBE level.

Summary:
crystal system	orthorhombic
E_tot	-9.486	eV/atom
DOS at the Fermi energy	1.295	states/eV/atom
calculated volume	111.04	Å³/cell

Geometry as CIF:
```
data_CoTc2Os
_chemical_formula_sum 'Co2 Tc4 Os2'
_space_group_name_H-M_alt 'I m m 2'
_space_group_IT_number 44
_cell_length_a 2.7336
_cell_length_b 4.3747
_cell_length_c 9.2853
_cell_angle_alpha 90.00
_cell_angle_beta 90.00
_cell_angle_gamma 90.00
loop_
_space_group_symop_operation_xyz
'x,y,z'
'-x,-y,z'
'-x,y,z'
'x,-y,z'
'x+1/2,y+1/2,z+1/2'
'-x+1/2,-y+1/2,z+1/2'
'-x+1/2,y+1/2,z+1/2'
'x+1/2,-y+1/2,z+1/2'
loop_
_atom_site_label
_atom_site_type_symbol
_atom_site_fract_x
_atom_site_fract_y
_atom_site_fract_z
_atom_site_occupancy
Co1 Co 0.0000 0.0000 0.0000 1
Tc1 Tc 0.0000 0.0000 0.5205 1
Tc2 Tc 0.0000 0.5000 0.7214 1
Os1 Os 0.0000 0.5000 0.2827 1
```


Record 3
Below is a geometry-optimized GeSbRh3 structure, with properties calculated at the GGA-PBE level.

Summary:
crystal system	cubic
raw formation energy	0.365	eV/atom
E_tot	-5.793	eV/atom
DOS at the Fermi energy	2.072	states/eV/atom
calculated volume	96.18	Å³/cell

Geometry as CIF:
```
data_GeSbRh3
_chemical_formula_sum 'Ge1 Sb1 Rh3'
_space_group_name_H-M_alt 'P m -3 m'
_space_group_IT_number 221
_space_group_name_Hall '-P 4 2 3'
_cell_length_a 4.5817
_cell_length_b 4.5817
_cell_length_c 4.5817
_cell_angle_alpha 90.00
_cell_angle_beta 90.00
_cell_angle_gamma 90.00
loop_
_atom_site_label
_atom_site_type_symbol
_atom_site_fract_x
_atom_site_fract_y
_atom_site_fract_z
_atom_site_occupancy
Ge1 Ge 0.0000 0.0000 0.0000 1
Sb1 Sb 0.5000 0.5000 0.5000 1
Rh1 Rh 0.0000 0.0000 0.5000 1
```


Record 4
Below is a geometry-optimized Li2NdPb structure, with properties calculated at the GGA-PBE level.

Summary:
crystal system	orthorhombic
E_tot	-3.405	eV/atom
DOS at the Fermi energy	0.842	states/eV/atom
calculated volume	197.81	Å³/cell

Geometry as CIF:
```
data_Li2NdPb
_chemical_formula_sum 'Li4 Nd2 Pb2'
_space_group_name_H-M_alt 'P m m n'
_space_group_IT_number 59
_cell_length_a 4.8095
_cell_length_b 6.3019
_cell_length_c 6.5263
_cell_angle_alpha 90.00
_cell_angle_beta 90.00
_cell_angle_gamma 90.00
loop_
_space_group_symop_operation_xyz
'x,y,z'
'-x,-y,-z'
'-x+1/2,-y+1/2,z'
'x+1/2,y+1/2,-z'
'x+1/2,-y,-z'
'-x+1/2,y,z'
'-x,y+1/2,-z'
'x,-y+1/2,z'
loop_
_atom_site_label
_atom_site_type_symbol
_atom_site_fract_x
_atom_site_fract_y
_atom_site_fract_z
_atom_site_occupancy
Li1 Li 0.2500 0.0170 0.1170 1
Nd1 Nd 0.2500 0.2500 0.5920 1
Pb1 Pb 0.2500 0.7500 0.7537 1
```